(1)
A relaxed SbP2Os crystal, computed with GGA-PBE.

Properties
Crystal system: tetragonal
Formation energy (no corrections) in eV per formula unit: 0.626
Calculated total energy in eV/cell: -102.18

Lattice parameters (Å, degrees): 5.711 5.711 11.011 90.00 90.00 90.00
Space group I-42d (No. 122)
One atom of each set of equivalent atoms:
Sb1 0.000 0.000 0.000 x4
P1 0.189 0.250 0.625 x8
Os1 0.000 0.000 0.500 x4

---

(2)
A relaxed Ac2Ni12Ge7 crystal, computed with GGA-PBE.

Properties
Crystal system: hexagonal
Calculated total energy in eV/cell: -118.61
Energy of formation in eV per atom: -0.414

Lattice parameters (Å, degrees): 9.5458 9.5458 3.9463 90.00 90.00 120.00
Space group P-6 (No. 174)
One atom of each set of equivalent atoms:
Ac1 0.0000 0.0000 0.0000 x1
Ac2 0.3333 0.6667 0.5000 x1
Ni1 0.0258 0.2801 0.5000 x3
Ni2 0.1235 0.7413 0.0000 x3
Ni3 0.3880 0.1977 0.0000 x3
Ni4 0.5703 0.1414 0.5000 x3
Ge1 0.0416 0.4472 0.0000 x3
Ge2 0.2772 0.2517 0.5000 x3
Ge3 0.6667 0.3333 0.0000 x1

---

- The lowest calculated total energy belongs to which entry?
  Ac2Ni12Ge7

---

- Among the records above, which one has the highest calculated total energy?
  SbP2Os